KRu2Br after structural relaxation. Source: Alexandria via LeMat-Bulk, functional PBE.

Cell and atoms, written as POSCAR:
```
KRu2Br
1.0
2.6444 0.0000 0.0000
0.0000 5.6914 0.0000
0.0000 0.0000 6.4888
K Ru Br
1 2 1
direct
0.0000 0.0000 0.0000
0.5000 0.3008 0.5000
0.5000 0.6992 0.5000
0.0000 0.5000 0.0000
```

Values from the calculation:
total moment = 1.2 Bohr magnetons per cell
uncorrected formation energy = 1139 meV per atom
E above lowest polymorph = 825 meV per atom
raw total energy = -0.308 Ry per atom